! ZrHgNO (PBE-GGA, relaxed); values from VASP
&SYSTEM
  ibrav = 0, nat = 8, ntyp = 4
/
ATOMIC_SPECIES
N 14.01 N.upf
O 16.00 O.upf
Hg 200.59 Hg.upf
Zr 91.22 Zr.upf
CELL_PARAMETERS angstrom
-2.998 -0.707 -1.851
-0.497 -2.982 1.944
-4.598 4.501 5.730
ATOMIC_POSITIONS crystal
N 0.250 0.250 0.765
O 0.750 0.250 0.000
N 0.750 0.750 0.235
Hg 0.750 0.250 0.500
Zr 0.250 0.250 0.146
O 0.250 0.750 0.000
Hg 0.250 0.750 0.500
Zr 0.750 0.750 0.854
! E	-6.210	eV per atom
! crystal system	tetragonal
! E above lowest polymorph	1.73	eV/f.u.
! total magnetic moment	1.5	μB/cell